[1]
PBE DyPaZn, optimized geometry; total magnetic moment = 0.4 μB/cell; energy above the lowest structure with this stoichiometry = 0.00 kcal/mol of atoms; ΔE_f = 0.025 eV per atom
1.0
-1.6061 1.6061 6.8930
1.6061 -1.6061 6.8930
1.6061 1.6061 -6.8930
Dy Pa Zn
1 1 1
direct
0.0000 0.0000 0.0000
0.3067 0.3067 0.0000
0.6520 0.6520 0.0000

***

[2]
PBE Hg2GeTe, optimized geometry; total magnetic moment = 0.0 μB/cell; energy above the lowest structure with this stoichiometry = 0.00 kcal/mol of atoms
1.0
-3.3497 3.3497 5.8475
3.3497 -3.3497 5.8475
3.3497 3.3497 -5.8475
Hg Ge Te
4 2 2
direct
0.0937 0.6250 0.9687
0.3750 0.3437 0.4687
0.6563 0.1250 0.0313
0.8750 0.9063 0.5313
0.0000 0.0000 0.0000
0.7500 0.2500 0.5000
0.2500 0.7500 0.5000
0.5000 0.5000 0.0000

***

[3]
PBE Ce3Sn3Au, optimized geometry; total magnetic moment = 5.6 μB/cell; ΔE_f = -0.628 eV per atom
1.0
5.7818 -2.3272 0.0000
5.7818 2.3272 0.0000
-5.0051 0.0000 14.4489
Ce Sn Au
6 6 2
direct
0.0280 0.0280 0.3823
0.0995 0.0995 0.9228
0.2329 0.2329 0.2305
0.7671 0.7671 0.7695
0.9005 0.9005 0.0772
0.9720 0.9720 0.6177
0.3608 0.3608 0.4557
0.3747 0.3747 0.9245
0.4877 0.4877 0.7698
0.5123 0.5123 0.2302
0.6253 0.6253 0.0755
0.6392 0.6392 0.5443
0.2687 0.2687 0.6150
0.7313 0.7313 0.3850

***

[4]
PBE BaNa3Bi, optimized geometry; total magnetic moment = 0.5 μB/cell; energy above the lowest structure with this stoichiometry = 19.81 kcal/mol of atoms; ΔE_f = 0.763 eV per atom
1.0
6.2514 0.0000 0.0000
0.0000 6.2514 0.0000
0.0000 0.0000 6.2514
Ba Na Bi
1 3 1
direct
0.0000 0.0000 0.0000
0.0000 0.0000 0.5000
0.0000 0.5000 0.0000
0.5000 0.0000 0.0000
0.5000 0.5000 0.5000

***

[5]
PBE Mn2Si2Ag, optimized geometry; total magnetic moment = 7.4 μB/cell; energy above the lowest structure with this stoichiometry = 0.00 kcal/mol of atoms
1.0
7.0347 0.0000 0.0000
0.0000 7.0347 0.0000
0.0000 0.0000 2.6910
Mn Si Ag
4 4 2
direct
0.1402 0.3598 0.0000
0.3598 0.8598 0.0000
0.6402 0.1402 0.0000
0.8598 0.6402 0.0000
0.1512 0.6512 0.5000
0.3488 0.1512 0.5000
0.6512 0.8488 0.5000
0.8488 0.3488 0.5000
0.0000 0.0000 0.5000
0.5000 0.5000 0.5000

***

[6]
PBE TlHgI2, optimized geometry; total magnetic moment = 0.0 μB/cell; energy above the lowest structure with this stoichiometry = 3.21 kcal/mol of atoms
1.0
2.3224 1.3408 8.5436
-2.3224 1.3408 8.5436
0.0000 -2.6816 8.5436
Tl Hg I
1 1 2
direct
0.0000 0.0000 0.0000
0.1677 0.1677 0.1677
0.4181 0.4181 0.4181
0.5827 0.5827 0.5827